#A
First-principles (SCAN) data for a PBEsol-optimized structure of PCS2, as listed in Alexandria.

abc: 3.002 3.002 7.272
angles: 78.09 78.09 60.00
Positions (direct):
P 0.000 0.000 0.000
S 0.891 0.891 0.328
S 0.109 0.109 0.672
C 0.500 0.500 0.500

#B
First-principles (SCAN) data for a PBEsol-optimized structure of PCS2, as listed in Alexandria.

abc: 5.287 5.287 5.287
angles: 98.91 115.00 115.00
Positions (direct):
P 0.000 0.000 0.000
P 0.500 0.750 0.250
S 0.065 0.875 0.440
S 0.935 0.375 0.810
S 0.435 0.560 0.625
S 0.565 0.190 0.125
C 0.000 0.500 0.500
C 0.500 0.250 0.750

Which structure above is the least stable? It is #A.